(1)
Entry from Alexandria: a geometry-optimized Dy2Y3ErAs6 structure (GGA-PBE).

Cell and atoms, written as POSCAR:
```
Dy2Y3ErAs6
1.0
-6.794 0.199 2.145
1.530 -0.581 -6.937
1.731 -6.570 2.151
Dy Y Er As
2 3 1 6
direct
0.333 0.667 0.000
0.667 0.333 0.000
0.167 0.833 0.500
0.833 0.167 0.500
0.500 0.500 0.500
0.000 0.000 0.000
0.917 0.585 0.752
0.751 0.751 0.249
0.083 0.415 0.248
0.585 0.917 0.752
0.249 0.249 0.751
0.415 0.083 0.248
```

Raw total energy   -6.6319 eV per atom
Total magnetic moment   0.00 μB/atom
ΔE_f   -1788 kJ/mol of formula units
Symmetry   C2/m (12)
Crystal system   monoclinic

(2)
Entry from Alexandria: a geometry-optimized DyY3Er2As6 structure (GGA-PBE).

Cell and atoms, written as POSCAR:
```
DyY3Er2As6
1.0
7.117 -0.001 0.001
-3.557 6.164 0.001
-1.186 -2.054 6.710
Dy Y Er As
1 3 2 6
direct
0.000 0.000 0.000
0.166 0.834 0.500
0.834 0.166 0.500
0.500 0.500 0.500
0.333 0.667 0.000
0.667 0.333 0.000
0.917 0.583 0.752
0.748 0.748 0.248
0.083 0.417 0.248
0.583 0.917 0.752
0.252 0.252 0.752
0.417 0.083 0.248
```

Raw total energy   -6.6257 eV per atom
Total magnetic moment   0.00 μB/atom
ΔE_f   -1784 kJ/mol of formula units
Symmetry   C2/m (12)
Crystal system   monoclinic

(3)
Entry from Alexandria: a geometry-optimized Dy2ErZrAs4 structure (GGA-PBE).

Cell and atoms, written as POSCAR:
```
Dy2ErZrAs4
1.0
4.034 0.000 0.000
0.000 6.989 0.130
0.000 -2.434 6.555
Dy Er Zr As
2 1 1 4
direct
0.500 0.000 0.500
0.000 0.500 0.500
0.500 0.500 0.000
0.000 0.000 0.000
0.500 0.241 0.240
0.500 0.759 0.760
0.000 0.246 0.757
0.000 0.754 0.243
```

Raw total energy   -6.5437 eV per atom
Total magnetic moment   0.00 μB/atom
ΔE_f   -1103 kJ/mol of formula units
Symmetry   P2/m (10)
Crystal system   monoclinic

(4)
Entry from Alexandria: a geometry-optimized DyErZr2As4 structure (GGA-PBE).

Cell and atoms, written as POSCAR:
```
DyErZr2As4
1.0
-3.463 0.805 -1.733
-2.980 -4.995 3.633
-0.389 5.958 3.544
Dy Er Zr As
1 1 2 4
direct
0.500 0.500 0.000
0.000 0.000 0.000
0.500 0.000 0.500
0.000 0.500 0.500
0.500 0.253 0.261
0.500 0.747 0.739
0.000 0.245 0.738
0.000 0.755 0.262
```

Raw total energy   -6.9207 eV per atom
Total magnetic moment   0.00 μB/atom
ΔE_f   -1014 kJ/mol of formula units
Symmetry   P2/m (10)
Crystal system   monoclinic

(5)
Entry from Alexandria: a geometry-optimized EuDy2As structure (GGA-PBE).

Cell and atoms, written as POSCAR:
```
EuDy2As
1.0
-0.297 -3.350 1.941
2.213 -0.635 3.127
-6.757 2.851 7.772
Eu As Dy
1 1 2
direct
0.000 0.000 0.000
0.500 0.500 0.500
0.113 0.113 0.661
0.887 0.887 0.339
```

Raw total energy   -6.5202 eV per atom
Total magnetic moment   1.83 μB/atom
ΔE_f   -188 kJ/mol of formula units
Symmetry   R-3m (166)
Crystal system   trigonal

(6)
Entry from Alexandria: a geometry-optimized EuDyAs structure (GGA-PBE).

Cell and atoms, written as POSCAR:
```
EuDyAs
1.0
4.676 0.000 0.000
0.000 4.737 0.000
0.000 -2.369 4.103
Eu As Dy
1 1 1
direct
0.706 0.667 0.333
0.087 0.000 0.000
0.207 0.333 0.667
```

Raw total energy   -7.1726 eV per atom
Total magnetic moment   2.43 μB/atom
ΔE_f   -192 kJ/mol of formula units
Symmetry   P3m1 (156)
Crystal system   trigonal

(7)
Entry from Alexandria: a geometry-optimized EuDyAs2 structure (GGA-PBE).

Cell and atoms, written as POSCAR:
```
EuDyAs2
1.0
-4.167 -0.109 0.470
-1.668 -0.472 3.819
-2.033 6.665 2.239
Eu As Dy
1 2 1
direct
0.500 0.500 0.500
0.254 0.254 0.238
0.746 0.746 0.762
0.000 0.000 0.000
```

Raw total energy   -7.3503 eV per atom
Total magnetic moment   1.61 μB/atom
ΔE_f   -504 kJ/mol of formula units
Symmetry   R-3m (166)
Crystal system   trigonal

(8)
Entry from Alexandria: a geometry-optimized DyAs2F8 structure (GGA-PBE).

Cell and atoms, written as POSCAR:
```
DyAs2F8
1.0
-4.410 -3.333 -1.641
3.146 -1.832 -4.835
3.688 -4.791 -0.283
Dy As F
1 2 8
direct
0.000 0.000 0.000
0.595 0.759 0.759
0.405 0.241 0.241
0.210 0.359 0.920
0.790 0.080 0.641
0.323 0.902 0.902
0.677 0.098 0.098
0.210 0.920 0.359
0.790 0.641 0.080
0.809 0.633 0.633
0.191 0.367 0.367
```

Raw total energy   -5.1736 eV per atom
Energy relative to the elements, uncorrected   -2548.9 meV per atom
Total magnetic moment   0.00 μB/atom
Symmetry   C2/m (12)
Crystal system   monoclinic

(9)
Entry from Alexandria: a geometry-optimized DyAsO4F structure (GGA-PBE).

Cell and atoms, written as POSCAR:
```
DyAsO4F
1.0
5.961 -0.195 0.026
1.790 5.689 0.026
1.600 1.134 6.460
Dy As O F
2 2 8 2
direct
0.201 0.201 0.897
0.799 0.799 0.103
0.646 0.646 0.725
0.354 0.354 0.275
0.278 0.278 0.536
0.722 0.722 0.464
0.114 0.478 0.154
0.542 0.542 0.218
0.522 0.886 0.846
0.478 0.114 0.154
0.458 0.458 0.782
0.886 0.522 0.846
0.010 0.010 0.181
0.990 0.990 0.819
```

Raw total energy   -6.5536 eV per atom
Energy relative to the elements, uncorrected   -2131.4 meV per atom
Total magnetic moment   0.15 μB/atom
Symmetry   C2/m (12)
Crystal system   monoclinic

(10)
Entry from Alexandria: a geometry-optimized Dy2FeAs structure (GGA-PBE).

Cell and atoms, written as POSCAR:
```
Dy2FeAs
1.0
-3.271 -0.776 1.787
-0.006 -2.263 3.061
0.060 5.886 6.720
As Fe Dy
1 1 2
direct
0.500 0.500 0.500
0.000 0.000 0.000
0.100 0.100 0.701
0.900 0.900 0.299
```

Raw total energy   -5.4806 eV per atom
Total magnetic moment   0.45 μB/atom
ΔE_f   38 kJ/mol of formula units
Symmetry   R-3m (166)
Crystal system   trigonal

Q: raw total energy of number 9 (DyAsO4F)?
A: -6.5536 eV per atom

Q: What is the raw total energy in the sixth record?
A: -7.1726 eV per atom